# 1
LaNd3YTh | PBE-GGA | optimized geometry

Summary:
The value obtained for the total energy is -65.85 eV for the cell shown. The density is 7.14 g cm⁻³. The calculation puts the volume at 34.61 Å³ per atom. The energy relative to the elements is 0.0316 eV per atom. The spin magnetization comes out at 0.00 μB/atom.

Lattice parameters (Å, degrees): 5.1757 8.1933 10.9873 116.96 90.00 90.00
Last column: nearest neighbours and their distance in Å.
Sites, in units of the cell vectors:
Nd (0.7500, 0.3801, 0.2080)  3 Y 3.62-3.68, 1 Th 3.64, 6 Nd 3.65-3.76, 2 La 3.77
Nd (0.2500, 0.1284, 0.9555)  3 Y 3.64, 1 Th 3.65, 3 La 3.65-3.79, 5 Nd 3.67-3.73
Nd (0.7500, 0.8716, 0.0445)  3 Y 3.64, 1 Th 3.65, 3 La 3.65-3.79, 5 Nd 3.67-3.73
Nd (0.2500, 0.6358, 0.4551)  3 Th 3.54-3.59, 1 Y 3.55, 3 La 3.64-3.80, 5 Nd 3.65-3.82
La (0.7500, 0.8836, 0.7040)  3 Th 3.55-3.59, 1 Y 3.58, 8 Nd 3.64-3.80
La (0.2500, 0.1164, 0.2960)  3 Th 3.55-3.59, 1 Y 3.58, 8 Nd 3.64-3.80
Nd (0.2500, 0.6199, 0.7920)  3 Y 3.62-3.68, 1 Th 3.64, 6 Nd 3.65-3.76, 2 La 3.77
Nd (0.7500, 0.3642, 0.5449)  3 Th 3.54-3.59, 1 Y 3.55, 3 La 3.64-3.80, 5 Nd 3.65-3.82
Y (0.7500, 0.3735, 0.8712)  7 Nd 3.55-3.68, 1 La 3.58, 2 Th 3.66, 2 Y 3.70
Y (0.2500, 0.6265, 0.1288)  7 Nd 3.55-3.68, 1 La 3.58, 2 Th 3.66, 2 Y 3.70
Th (0.7500, 0.8791, 0.3792)  5 Nd 3.54-3.65, 3 La 3.55-3.59, 2 Th 3.59, 2 Y 3.66
Th (0.2500, 0.1209, 0.6208)  5 Nd 3.54-3.65, 3 La 3.55-3.59, 2 Th 3.59, 2 Y 3.66

---

# 2
La2Nd2Y6Th | PBE-GGA | optimized geometry

Summary:
The value obtained for the total energy is -64.04 eV for the cell shown. The density is 5.92 g cm⁻³. The calculation puts the volume at 33.99 Å³ per atom. The energy relative to the elements is 0.1411 eV per atom. The spin magnetization comes out at 0.00 μB/atom.

Lattice parameters (Å, degrees): 6.7736 6.7736 12.0242 101.88 101.88 129.37
Last column: nearest neighbours and their distance in Å.
Sites, in units of the cell vectors:
La (0.7086, 0.2914, 0.5000)  2 La 3.07, 2 Y 3.34
Nd (0.1305, 0.8695, 0.0000)  1 Nd 3.20, 4 Y 3.45-3.51
Y (0.7041, 0.7041, 0.7035)  2 La 3.34, 2 Nd 3.51, 4 Y 3.56, 2 Th 3.60-3.61
Y (0.2959, 0.2959, 0.2965)  2 La 3.34, 2 Nd 3.51, 4 Y 3.56, 2 Th 3.60-3.61
Y (0.4456, 0.1497, 0.7971)  3 Nd 3.45-3.61, 5 Y 3.56-3.83, 1 La 3.59, 1 Th 3.62
Th (0.0000, 0.0000, 0.5000)  6 La 3.57-3.86, 8 Y 3.60-3.62
Y (0.5544, 0.8503, 0.2029)  3 Nd 3.45-3.61, 5 Y 3.56-3.83, 1 La 3.59, 1 Th 3.62
Y (0.1497, 0.4456, 0.7971)  3 Nd 3.45-3.61, 5 Y 3.56-3.83, 1 La 3.59, 1 Th 3.62
Nd (0.8695, 0.1305, 0.0000)  1 Nd 3.20, 4 Y 3.45-3.51
La (0.2914, 0.7086, 0.5000)  2 La 3.07, 2 Y 3.34
Y (0.8503, 0.5544, 0.2029)  3 Nd 3.45-3.61, 5 Y 3.56-3.83, 1 La 3.59, 1 Th 3.62

---

# 3
LaNdYTh | PBE-GGA | optimized geometry

Summary:
The value obtained for the total energy is -23.42 eV for the cell shown. The density is 7.36 g cm⁻³. The calculation puts the energy above the most stable polymorph in this dataset at 0.000 kcal/mol of atoms. The calculation puts the volume at 34.08 Å³ per atom. The energy relative to the elements is 0.0408 eV per atom. The spin magnetization comes out at 0.00 μB/atom.

Lattice parameters (Å, degrees): 3.6346 3.6346 12.0977 81.36 81.36 60.00
Last column: nearest neighbours and their distance in Å.
Sites, in units of the cell vectors:
Nd (0.3681, 0.3681, 0.8956)  3 Th 3.63, 6 Nd 3.63, 3 La 3.72
Th (0.6187, 0.6187, 0.1438)  3 Y 3.58, 3 Nd 3.63, 6 Th 3.63
Y (0.2043, 0.2043, 0.3872)  3 Th 3.58, 6 Y 3.63, 3 La 3.65
La (0.7875, 0.7875, 0.6375)  6 La 3.63, 3 Y 3.65, 3 Nd 3.72

---

Copy entry 1 word for word.
LaNd3YTh | PBE-GGA | optimized geometry

Summary:
The value obtained for the total energy is -65.85 eV for the cell shown. The density is 7.14 g cm⁻³. The calculation puts the volume at 34.61 Å³ per atom. The energy relative to the elements is 0.0316 eV per atom. The spin magnetization comes out at 0.00 μB/atom.

Lattice parameters (Å, degrees): 5.1757 8.1933 10.9873 116.96 90.00 90.00
Last column: nearest neighbours and their distance in Å.
Sites, in units of the cell vectors:
Nd (0.7500, 0.3801, 0.2080)  3 Y 3.62-3.68, 1 Th 3.64, 6 Nd 3.65-3.76, 2 La 3.77
Nd (0.2500, 0.1284, 0.9555)  3 Y 3.64, 1 Th 3.65, 3 La 3.65-3.79, 5 Nd 3.67-3.73
Nd (0.7500, 0.8716, 0.0445)  3 Y 3.64, 1 Th 3.65, 3 La 3.65-3.79, 5 Nd 3.67-3.73
Nd (0.2500, 0.6358, 0.4551)  3 Th 3.54-3.59, 1 Y 3.55, 3 La 3.64-3.80, 5 Nd 3.65-3.82
La (0.7500, 0.8836, 0.7040)  3 Th 3.55-3.59, 1 Y 3.58, 8 Nd 3.64-3.80
La (0.2500, 0.1164, 0.2960)  3 Th 3.55-3.59, 1 Y 3.58, 8 Nd 3.64-3.80
Nd (0.2500, 0.6199, 0.7920)  3 Y 3.62-3.68, 1 Th 3.64, 6 Nd 3.65-3.76, 2 La 3.77
Nd (0.7500, 0.3642, 0.5449)  3 Th 3.54-3.59, 1 Y 3.55, 3 La 3.64-3.80, 5 Nd 3.65-3.82
Y (0.7500, 0.3735, 0.8712)  7 Nd 3.55-3.68, 1 La 3.58, 2 Th 3.66, 2 Y 3.70
Y (0.2500, 0.6265, 0.1288)  7 Nd 3.55-3.68, 1 La 3.58, 2 Th 3.66, 2 Y 3.70
Th (0.7500, 0.8791, 0.3792)  5 Nd 3.54-3.65, 3 La 3.55-3.59, 2 Th 3.59, 2 Y 3.66
Th (0.2500, 0.1209, 0.6208)  5 Nd 3.54-3.65, 3 La 3.55-3.59, 2 Th 3.59, 2 Y 3.66